DFT (PBE) results for a relaxed Ca2SnPd5Au2 crystal.

a = 4.0430 Å, b = 9.8135 Å, c = 9.8135 Å
α = 90.00°, β = 90.00°, γ = 90.00°
Last column: nearest neighbours and their distance in Å.
Positions (direct):
Ca (0.0000, 0.6681, 0.1681)  3 Au 2.80-2.95, 2 Pd 3.09
Ca (0.0000, 0.3319, 0.8319)  3 Au 2.80-2.95, 2 Pd 3.09
Ca (0.0000, 0.1681, 0.3319)  3 Au 2.80-2.95, 2 Pd 3.09
Ca (0.0000, 0.8319, 0.6681)  3 Au 2.80-2.95, 2 Pd 3.09
Sn (0.0000, 0.0000, 0.0000)  8 Pd 2.86
Sn (0.0000, 0.5000, 0.5000)  8 Pd 2.86
Pd (0.5000, 0.1962, 0.0612)  2 Au 2.73, 3 Pd 2.85-3.04, 2 Sn 2.86
Pd (0.5000, 0.8038, 0.9388)  2 Au 2.73, 3 Pd 2.85-3.04, 2 Sn 2.86
Pd (0.5000, 0.0612, 0.8038)  2 Au 2.73, 3 Pd 2.85-3.04, 2 Sn 2.86
Pd (0.5000, 0.6962, 0.4388)  2 Au 2.73, 3 Pd 2.85-3.04, 2 Sn 2.86
Pd (0.5000, 0.9388, 0.1962)  2 Au 2.73, 3 Pd 2.85-3.04, 2 Sn 2.86
Pd (0.5000, 0.3038, 0.5612)  2 Au 2.73, 3 Pd 2.85-3.04, 2 Sn 2.86
Pd (0.5000, 0.5612, 0.6962)  2 Au 2.73, 3 Pd 2.85-3.04, 2 Sn 2.86
Pd (0.5000, 0.4388, 0.3038)  2 Au 2.73, 3 Pd 2.85-3.04, 2 Sn 2.86
Pd (0.5000, 0.5000, 0.0000)  4 Au 2.71
Pd (0.5000, 0.0000, 0.5000)  4 Au 2.71
Au (0.0000, 0.1304, 0.6304)  6 Pd 2.71-2.73, 3 Ca 2.80-2.95
Au (0.0000, 0.8696, 0.3696)  6 Pd 2.71-2.73, 3 Ca 2.80-2.95
Au (0.0000, 0.6304, 0.8696)  6 Pd 2.71-2.73, 3 Ca 2.80-2.95
Au (0.0000, 0.3696, 0.1304)  6 Pd 2.71-2.73, 3 Ca 2.80-2.95

## Properties
**SG**: P4/mbm (127)
**ΔE_f**: -592 meV per atom
**Density**: 9.59 Mg/m³
**Size of the total moment**: 0.0 μB/f.u.

---

DFT (PBE) results for a relaxed CaThPdAu crystal.

a = 3.8565 Å, b = 4.5611 Å, c = 5.9796 Å
α = 90.00°, β = 108.81°, γ = 90.00°
Last column: nearest neighbours and their distance in Å.
Positions (direct):
Ca (0.1408, 0.0000, 0.2816)  3 Pd 3.02-3.27, 4 Au 3.05
Th (0.8660, 0.5000, 0.7320)  4 Pd 3.02, 3 Au 3.15-3.17
Pd (0.4073, 0.0000, 0.8146)  3 Ca 3.02-3.27, 4 Th 3.02, 2 Au 3.05
Au (0.5859, 0.5000, 0.1718)  2 Pd 3.05, 4 Ca 3.05, 3 Th 3.15-3.17

## Properties
**SG**: Amm2 (38)
**ΔE_f**: -747 meV per atom
**Density**: 9.60 Mg/m³
**ΔE to the lowest computed polymorph**: 0 meV/atom
**Size of the total moment**: 0.0 μB/f.u.

---

DFT (PBE) results for a relaxed CaThPdAu crystal.

a = 5.1364 Å, b = 5.1364 Å, c = 5.1364 Å
α = 60.00°, β = 60.00°, γ = 60.00°
Last column: nearest neighbours and their distance in Å.
Positions (direct):
Ca (0.2500, 0.2500, 0.2500)  4 Au 3.15, 4 Pd 3.15
Au (0.0000, 0.0000, 0.0000)  4 Th 3.15, 4 Ca 3.15
Pd (0.5000, 0.5000, 0.5000)  4 Ca 3.15, 4 Th 3.15
Th (0.7500, 0.7500, 0.7500)  4 Pd 3.15, 4 Au 3.15

## Properties
**SG**: F-43m (216)
**ΔE_f**: -681 meV per atom
**Density**: 9.97 Mg/m³
**ΔE to the lowest computed polymorph**: 67 meV/atom
**Size of the total moment**: 0.0 μB/f.u.